# 1
Density functional theory data (PBE) for a geometry-optimized CaCu2Si structure.

As for the size of the total moment: 0.000 μB/atom. For the final energy, the calculation gives -32.70 eV for the cell shown. As for the uncorrected formation energy: -0.184 eV/atom. Its density of states at the Fermi level is 5.0 states/eV/cell.

The space group is P4/nmm (No. 129, origin choice 2) and the conventional cell measures 3.964, 3.964 and 9.126 Å, with angles of 90.00, 90.00 and 90.00 degrees. The asymmetric unit holds Ca at (0.250, 0.250, 0.230), Cu at (0.250, 0.250, 0.912), Cu at (0.250, 0.750, 0.500) and Si at (0.250, 0.250, 0.647).

# 2
Density functional theory data (PBE) for a geometry-optimized CaCu2Si structure.

As for the size of the total moment: 0.000 μB/atom. For the final energy, the calculation gives -33.67 eV for the cell shown. As for the uncorrected formation energy: -0.304 eV/atom. Its density of states at the Fermi level is 1.8 states/eV/cell.

The space group is C2/m (No. 12) and the conventional cell measures 7.130, 4.113 and 5.501 Å, with angles of 90.00, 115.29 and 90.00 degrees. The asymmetric unit holds Ca at (0.000, 0.000, 0.000), Cu at (0.195, 0.000, 0.586) and Si at (0.000, 0.500, 0.500).

# 3
Density functional theory data (PBE) for a geometry-optimized CaCuSi structure.

As for the size of the total moment: 0.000 μB/atom. For the final energy, the calculation gives -47.25 eV for the cell shown. As for the uncorrected formation energy: -0.097 eV/atom. Its density of states at the Fermi level is 13.3 states/eV/cell.

The space group is F-43m (No. 216) and the conventional cell measures 6.259, 6.259 and 6.259 Å, with angles of 90.00, 90.00 and 90.00 degrees. The asymmetric unit holds Ca at (0.000, 0.000, 0.000), Cu at (0.250, 0.250, 0.750) and Si at (0.000, 0.000, 0.500).

# 4
Density functional theory data (PBE) for a geometry-optimized Ca2Cu17Si3 structure.

As for the size of the total moment: 0.000 μB/atom. For the final energy, the calculation gives -262.45 eV for the cell shown. As for the uncorrected formation energy: 0.110 eV/atom. Its density of states at the Fermi level is 20.5 states/eV/cell.

The space group is R-3m (No. 166, hexagonal axes) and the conventional cell measures 9.4085, 9.4085 and 13.0598 Å, with angles of 90.00, 90.00 and 120.00 degrees. The asymmetric unit holds Ca at (0.0000, 0.0000, 0.1718), Cu at (0.0000, 0.0000, 0.4071), Cu at (0.0000, 0.2590, 0.5000), Cu at (0.0000, 0.5000, 0.0000), Cu at (0.0161, 0.5081, 0.3275) and Si at (0.0000, 0.5000, 0.5000).

# 5
Density functional theory data (PBE) for a geometry-optimized Ca2Cu15Si2 structure.

As for the size of the total moment: 0.000 μB/atom. For the final energy, the calculation gives -233.32 eV for the cell shown. As for the uncorrected formation energy: -0.078 eV/atom. Its density of states at the Fermi level is 35.1 states/eV/cell.

The space group is R-3m (No. 166, hexagonal axes) and the conventional cell measures 8.6006, 8.6006 and 12.5494 Å, with angles of 90.00, 90.00 and 120.00 degrees. The asymmetric unit holds Ca at (0.0000, 0.0000, 0.1544), Cu at (0.0000, 0.3019, 0.5000), Cu at (0.0000, 0.5000, 0.0000), Cu at (0.0060, 0.5030, 0.3432) and Si at (0.0000, 0.0000, 0.4040).

# 6
Density functional theory data (PBE) for a geometry-optimized CaCu3Si2 structure.

As for the size of the total moment: 0.000 μB/atom. For the final energy, the calculation gives -107.42 eV for the cell shown. As for the uncorrected formation energy: -0.287 eV/atom. Its density of states at the Fermi level is 10.7 states/eV/cell.

The space group is C2/m (No. 12) and the conventional cell measures 14.993, 3.914 and 7.186 Å, with angles of 90.00, 114.34 and 90.00 degrees. The asymmetric unit holds Ca at (0.154, 0.000, 0.071), Cu at (0.035, 0.000, 0.366), Cu at (0.093, 0.500, 0.670), Cu at (0.183, 0.500, 0.442), Si at (0.019, 0.500, 0.175) and Si at (0.187, 0.000, 0.667).

# 7
Density functional theory data (PBE) for a geometry-optimized CaCu2Si structure.

As for the size of the total moment: 0.000 μB/atom. For the final energy, the calculation gives -61.68 eV for the cell shown. As for the uncorrected formation energy: 0.049 eV/atom. Its density of states at the Fermi level is 10.2 states/eV/cell.

The space group is F-43m (No. 216) and the conventional cell measures 6.418, 6.418 and 6.418 Å, with angles of 90.00, 90.00 and 90.00 degrees. The asymmetric unit holds Ca at (0.000, 0.000, 0.000), Cu at (0.000, 0.000, 0.500), Cu at (0.250, 0.250, 0.750) and Si at (0.250, 0.250, 0.250).

# 8
Density functional theory data (PBE) for a geometry-optimized Ca2CuSi2 structure.

As for the size of the total moment: 0.000 μB/atom. For the final energy, the calculation gives -40.97 eV for the cell shown. As for the uncorrected formation energy: -0.308 eV/atom. Its density of states at the Fermi level is 5.6 states/eV/cell. The energy above the most stable polymorph in this dataset comes out at 0.150 eV per atom.

The space group is P4/mbm (No. 127) and the conventional cell measures 6.668, 6.668 and 4.626 Å, with angles of 90.00, 90.00 and 90.00 degrees. The asymmetric unit holds Ca at (0.169, 0.331, 0.000), Cu at (0.000, 0.000, 0.500) and Si at (0.134, 0.634, 0.500).

# 9
Density functional theory data (PBE) for a geometry-optimized CaCuSi structure.

As for the size of the total moment: 0.000 μB/atom. For the final energy, the calculation gives -152.98 eV for the cell shown. As for the uncorrected formation energy: -0.409 eV/atom. Its density of states at the Fermi level is 10.9 states/eV/cell.

The space group is Imm2 (No. 44) and the conventional cell measures 4.281, 21.137 and 7.366 Å, with angles of 90.00, 90.00 and 90.00 degrees. The asymmetric unit holds Ca at (0.000, 0.000, 0.000), Ca at (0.000, 0.166, 0.901), Ca at (0.000, 0.332, 0.997), Ca at (0.000, 0.500, 0.897), Cu at (0.000, 0.068, 0.612), Cu at (0.000, 0.227, 0.278), Cu at (0.000, 0.394, 0.618), Si at (0.000, 0.102, 0.287), Si at (0.000, 0.269, 0.609) and Si at (0.000, 0.440, 0.283).

# 10
Density functional theory data (PBE) for a geometry-optimized Ca2CuSi2 structure.

As for the size of the total moment: 0.000 μB/atom. For the final energy, the calculation gives -84.94 eV for the cell shown. As for the uncorrected formation energy: -0.458 eV/atom. Its density of states at the Fermi level is 7.7 states/eV/cell. The energy above the most stable polymorph in this dataset comes out at 0.000 eV per atom.

The space group is C2/m (No. 12) and the conventional cell measures 10.438, 4.329 and 10.436 Å, with angles of 90.00, 119.13 and 90.00 degrees. The asymmetric unit holds Ca at (0.014, 0.000, 0.329), Ca at (0.193, 0.000, 0.109), Cu at (0.230, 0.500, 0.356), Si at (0.007, 0.500, 0.887) and Si at (0.136, 0.500, 0.558).

# 11
Density functional theory data (PBE) for a geometry-optimized Ca4Cu4Si structure.

As for the size of the total moment: 0.000 μB/atom. For the final energy, the calculation gives -60.43 eV for the cell shown. As for the uncorrected formation energy: -0.045 eV/atom. Its density of states at the Fermi level is 14.8 states/eV/cell.

The space group is P4_2/n (No. 86, origin choice 2) and the conventional cell measures 8.713, 8.713 and 5.550 Å, with angles of 90.00, 90.00 and 90.00 degrees. The asymmetric unit holds Ca at (0.057, 0.666, 0.134), Cu at (0.099, 0.305, 0.395) and Si at (0.250, 0.250, 0.750).

# 12
Density functional theory data (PBE) for a geometry-optimized Ca2Cu12Si7 structure.

As for the size of the total moment: 0.000 μB/atom. For the final energy, the calculation gives -94.50 eV for the cell shown. As for the uncorrected formation energy: -0.161 eV/atom. Its density of states at the Fermi level is 6.9 states/eV/cell.

The space group is P-3 (No. 147) and the conventional cell measures 9.4712, 9.4712 and 3.9398 Å, with angles of 90.00, 90.00 and 120.00 degrees. The asymmetric unit holds Ca at (0.3333, 0.6667, 0.2493), Cu at (0.0507, 0.4313, 0.7526), Cu at (0.1246, 0.2633, 0.2357), Si at (0.0000, 0.0000, 0.5000) and Si at (0.1128, 0.7074, 0.7453).

# 13
Density functional theory data (PBE) for a geometry-optimized CaCu2Si structure.

As for the size of the total moment: 0.000 μB/atom. For the final energy, the calculation gives -15.99 eV for the cell shown. As for the uncorrected formation energy: -0.093 eV/atom. Its density of states at the Fermi level is 1.5 states/eV/cell.

The space group is Pmmm (No. 47) and the conventional cell measures 3.581, 4.156 and 5.043 Å, with angles of 90.00, 90.00 and 90.00 degrees. The asymmetric unit holds Ca at (0.000, 0.000, 0.000), Cu at (0.500, 0.500, 0.256) and Si at (0.500, 0.000, 0.500).

# 14
Density functional theory data (PBE) for a geometry-optimized Ca4Cu3Si structure.

As for the size of the total moment: 0.000 μB/atom. For the final energy, the calculation gives -27.59 eV for the cell shown. As for the uncorrected formation energy: -0.234 eV/atom. Its density of states at the Fermi level is 4.4 states/eV/cell.

The space group is Pmm2 (No. 25) and the conventional cell measures 4.240, 4.377 and 10.466 Å, with angles of 90.00, 90.00 and 90.00 degrees. The asymmetric unit holds Ca at (0.000, 0.000, 0.000), Ca at (0.000, 0.500, 0.494), Ca at (0.500, 0.000, 0.710), Ca at (0.500, 0.500, 0.213), Cu at (0.000, 0.500, 0.794), Cu at (0.500, 0.000, 0.402), Cu at (0.500, 0.500, 0.912) and Si at (0.000, 0.000, 0.301).

# 15
Density functional theory data (PBE) for a geometry-optimized Ca2Cu5Si4 structure.

As for the size of the total moment: 0.000 μB/atom. For the final energy, the calculation gives -194.42 eV for the cell shown. As for the uncorrected formation energy: -0.221 eV/atom. Its density of states at the Fermi level is 23.0 states/eV/cell.

The space group is Fmmm (No. 69) and the conventional cell measures 5.514, 9.330 and 13.992 Å, with angles of 90.00, 90.00 and 90.00 degrees. The asymmetric unit holds Ca at (0.000, 0.000, 0.144), Cu at (0.000, 0.000, 0.500), Cu at (0.250, 0.250, 0.000), Cu at (0.250, 0.250, 0.250) and Si at (0.000, 0.141, 0.365).

# 16
Density functional theory data (PBE) for a geometry-optimized CaCuSi structure.

As for the size of the total moment: 0.000 μB/atom. For the final energy, the calculation gives -12.67 eV for the cell shown. As for the uncorrected formation energy: -0.384 eV/atom. Its density of states at the Fermi level is 0.9 states/eV/cell.

The space group is P-6m2 (No. 187) and the conventional cell measures 4.1808, 4.1808 and 3.9061 Å, with angles of 90.00, 90.00 and 120.00 degrees. The asymmetric unit holds Ca at (0.0000, 0.0000, 0.0000), Cu at (0.6667, 0.3333, 0.5000) and Si at (0.3333, 0.6667, 0.5000).

# 17
Density functional theory data (PBE) for a geometry-optimized Ca2Cu2Si structure.

As for the size of the total moment: 0.000 μB/atom. For the final energy, the calculation gives -36.26 eV for the cell shown. As for the uncorrected formation energy: -0.102 eV/atom. Its density of states at the Fermi level is 3.5 states/eV/cell.

The space group is I4/mmm (No. 139) and the conventional cell measures 3.471, 3.471 and 17.573 Å, with angles of 90.00, 90.00 and 90.00 degrees. The asymmetric unit holds Ca at (0.000, 0.000, 0.106), Cu at (0.000, 0.500, 0.250) and Si at (0.000, 0.000, 0.500).

# 18
Density functional theory data (PBE) for a geometry-optimized CaCu2Si structure.

As for the size of the total moment: 0.000 μB/atom. For the final energy, the calculation gives -29.54 eV for the cell shown. As for the uncorrected formation energy: 0.211 eV/atom. Its density of states at the Fermi level is 1.9 states/eV/cell.

The space group is C2/m (No. 12) and the conventional cell measures 5.753, 9.328 and 2.862 Å, with angles of 90.00, 117.90 and 90.00 degrees. The asymmetric unit holds Ca at (0.000, 0.000, 0.000), Cu at (0.250, 0.250, 0.500) and Si at (0.000, 0.500, 0.000).

# 19
Density functional theory data (PBE) for a geometry-optimized CaCu3Si structure.

As for the size of the total moment: 0.000 μB/atom. For the final energy, the calculation gives -40.97 eV for the cell shown. As for the uncorrected formation energy: -0.154 eV/atom. Its density of states at the Fermi level is 3.0 states/eV/cell. The energy above the most stable polymorph in this dataset comes out at 0.000 eV per atom.

The space group is Amm2 (No. 38) and the conventional cell measures 4.147, 5.143 and 8.135 Å, with angles of 90.00, 90.00 and 90.00 degrees. The asymmetric unit holds Ca at (0.000, 0.000, 0.000), Cu at (0.000, 0.000, 0.643), Cu at (0.500, 0.249, 0.751) and Si at (0.500, 0.000, 0.495).

# 20
Density functional theory data (PBE) for a geometry-optimized Ca2Cu3Si structure.

As for the size of the total moment: 0.000 μB/atom. For the final energy, the calculation gives -46.54 eV for the cell shown. As for the uncorrected formation energy: -0.259 eV/atom. Its density of states at the Fermi level is 5.6 states/eV/cell.

The space group is Cm (No. 8) and the conventional cell measures 10.084, 4.333 and 7.121 Å, with angles of 90.00, 133.85 and 90.00 degrees. The asymmetric unit holds Ca at (0.000, 0.000, 0.000), Ca at (0.111, 0.000, 0.619), Cu at (0.220, 0.500, 0.056), Cu at (0.378, 0.000, 0.563), Cu at (0.407, 0.000, 0.211) and Si at (0.226, 0.500, 0.412).